A plane-wave DFT calculation with GGA-PBE was carried out for crystalline LiAsBr at its relaxed geometry.

Geometry as POSCAR:
```
LiAsBr
1.0
3.4804 0.0000 0.0000
-1.7402 3.0141 0.0000
0.0000 0.0000 6.2959
Li As Br
1 1 1
Cartesian
0.0000 0.0000 0.0000
1.7402 1.0047 2.2471
0.0000 2.0094 4.9065
```

Results
* space-group type: P3m1 (156)
* calculated volume: 66 Å³/f.u.
* formation energy without anion corrections: -0.171 eV/atom
* D(E_F): 1.91 states/eV per cell

---

A plane-wave DFT calculation with GGA-PBE was carried out for crystalline NaInHg6 at its relaxed geometry.

Geometry as POSCAR:
```
NaInHg6
1.0
4.6556 -4.9761 0.0000
4.6556 4.9761 0.0000
0.0000 0.0000 4.4768
Na In Hg
1 1 6
Cartesian
0.0000 0.0000 0.0000
4.6556 0.0000 0.0000
2.3278 2.4881 0.0000
4.6556 2.5724 2.2384
2.3278 0.0000 2.2384
2.3278 -2.4881 0.0000
6.9835 0.0000 2.2384
4.6556 -2.5724 2.2384
```

Results
* space-group type: Cmmm (65)
* calculated volume: 207 Å³/f.u.
* calculated formation energy: -0.10 eV per atom
* D(E_F): 2.09 states/eV per cell

---

A plane-wave DFT calculation with GGA-PBE was carried out for crystalline TaAs2Ru at its relaxed geometry.

Geometry as POSCAR:
```
TaAs2Ru
1.0
0.0000 3.2085 3.2085
3.2085 0.0000 3.2085
3.2085 3.2085 0.0000
Ta As Ru
1 2 1
Cartesian
0.0000 0.0000 0.0000
3.2085 3.2085 3.2085
4.8127 4.8127 4.8127
1.6042 1.6042 1.6042
```

Results
* space-group type: F-43m (216)
* calculated volume: 66 Å³/f.u.
* calculated formation energy: 0.23 eV per atom
* D(E_F): 5.17 states/eV per cell